(1)
DFT (PBE) results for a geometry-optimized LiAl2Zn structure.

* N(E_F): 1.68 states/eV/f.u.

abc: 2.9258 2.9258 26.4360
angles: 90.00 90.00 120.00
Space group R3m (No. 160, hexagonal axes)
Inequivalent atoms, fractional coordinates:
Li 0.0000 0.0000 0.0000 (multiplicity 3)
Al 0.0000 0.0000 0.4196 (multiplicity 3)
Al 0.0000 0.0000 0.5823 (multiplicity 3)
Zn 0.0000 0.0000 0.8346 (multiplicity 3)

(2)
DFT (PBE) results for a geometry-optimized LiAl2Zn structure.

* N(E_F): 1.45 states/eV/f.u.

abc: 5.485 8.157 2.876
angles: 90.00 90.00 90.00
Space group Cmmm (No. 65)
Inequivalent atoms, fractional coordinates:
Li 0.000 0.000 0.000 (multiplicity 2)
Al 0.250 0.250 0.500 (multiplicity 4)
Zn 0.000 0.500 0.000 (multiplicity 2)

(3)
DFT (PBE) results for a geometry-optimized Li2AlZn structure.

* N(E_F): 1.01 states/eV/f.u.

abc: 2.717 4.480 5.130
angles: 90.00 90.17 90.00
Space group Pm (No. 6)
Inequivalent atoms, fractional coordinates:
Li 0.000 0.000 0.000 (multiplicity 1)
Li 0.005 0.500 0.698 (multiplicity 1)
Al 0.502 0.000 0.493 (multiplicity 1)
Zn 0.502 0.500 0.195 (multiplicity 1)

(4)
DFT (PBE) results for a geometry-optimized Li4AlZn5 structure.

* N(E_F): 3.61 states/eV/f.u.

abc: 8.506 8.506 4.776
angles: 90.00 90.00 90.00
Space group I4mm (No. 107)
Inequivalent atoms, fractional coordinates:
Li 0.000 0.299 0.000 (multiplicity 8)
Al 0.000 0.000 0.259 (multiplicity 2)
Zn 0.000 0.000 0.762 (multiplicity 2)
Zn 0.194 0.194 0.508 (multiplicity 8)

(5)
DFT (PBE) results for a geometry-optimized LiAl3Zn5 structure.

* N(E_F): 1.84 states/eV/f.u.

abc: 7.761 7.761 10.315
angles: 90.00 90.00 90.00
Space group I4/mcm (No. 140)
Inequivalent atoms, fractional coordinates:
Li 0.000 0.500 0.250 (multiplicity 4)
Al 0.000 0.000 0.250 (multiplicity 4)
Al 0.112 0.388 0.000 (multiplicity 8)
Zn 0.000 0.000 0.000 (multiplicity 4)
Zn 0.200 0.300 0.364 (multiplicity 16)

(6)
DFT (PBE) results for a geometry-optimized LiAl4Zn5 structure.

* N(E_F): 3.92 states/eV/f.u.

abc: 8.226 8.226 5.022
angles: 90.00 90.00 90.00
Space group I4 (No. 79)
Inequivalent atoms, fractional coordinates:
Li 0.000 0.000 0.000 (multiplicity 2)
Al 0.060 0.656 0.234 (multiplicity 8)
Zn 0.000 0.000 0.480 (multiplicity 2)
Zn 0.133 0.757 0.733 (multiplicity 8)

E_tot across the listed records, respectively: -2.689 -2.725 -2.374 -1.827 -2.014 -2.215 eV/atom.
Formation energy across the listed records, respectively: -0.02 -0.06 -0.16 -0.05 0.15 0.11 eV/atom.